1.
AgMo2Au | Alexandria | GGA-PBE | optimized geometry; excess energy over the best structure of this formula in the dataset = 519 meV/atom; theoretical density = 11.56 g cm⁻³; size of the total moment = 0.00 μB per atom; energy of formation from the pure elements = 724 meV per atom
1.0
-1.8738 1.8738 10.1636
1.8738 -1.8738 10.1636
1.8738 1.8738 -10.1636
Ag Mo Au
2 4 2
direct
0.0000 0.0000 0.0000
0.7500 0.2500 0.5000
0.1240 0.6250 0.9990
0.3750 0.3740 0.4990
0.6260 0.1250 0.0010
0.8750 0.8760 0.5010
0.2500 0.7500 0.5000
0.5000 0.5000 0.0000

2.
CaTeBr | Alexandria | GGA-PBE | optimized geometry; formation energy (no corrections) = -0.722 eV/atom; excess energy over the best structure of this formula in the dataset = 695 meV/atom; theoretical density = 3.72 g cm⁻³; size of the total moment = 0.11 μB per atom
1.0
0.0000 3.8097 3.8097
3.8097 0.0000 3.8097
3.8097 3.8097 0.0000
Ca Te Br
1 1 1
direct
0.0000 0.0000 0.0000
0.7500 0.7500 0.7500
0.5000 0.5000 0.5000

3.
ZrBe2Pd2 | Alexandria | GGA-PBE | optimized geometry; excess energy over the best structure of this formula in the dataset = 109 meV/atom; theoretical density = 7.65 g cm⁻³; size of the total moment = 0.00 μB per atom; energy of formation from the pure elements = -350 meV per atom
1.0
7.1585 0.0000 0.0000
0.0000 7.1585 0.0000
0.0000 0.0000 2.7279
Zr Be Pd
2 4 4
direct
0.0000 0.0000 0.0000
0.5000 0.5000 0.0000
0.1573 0.3427 0.5000
0.3427 0.8427 0.5000
0.6573 0.1573 0.5000
0.8427 0.6573 0.5000
0.1370 0.6370 0.0000
0.3630 0.1370 0.0000
0.6370 0.8630 0.0000
0.8630 0.3630 0.0000